VASP calculation (PBE) on a geometry-optimized InAgSb structure.

Summary:
Total moment ... 0.0 μB/cell
Calculated total energy ... -3.14 eV per atom
Uncorrected formation energy ... 0.096 eV/atom
Fermi-level density of states ... 1.28 states/eV/f.u.

a b c (Å): 4.4066 4.4066 4.6072
angles (deg): 90.00 90.00 120.00
Closest atoms and distances in Å follow each position.
Element x y z (fractional)
Sb  0.6667  0.3333  0.7150  3 Ag 2.82
Ag  0.0000  0.0000  0.9800  3 Sb 2.82, 3 In 2.95
In  0.3333  0.6667  0.3049  3 Ag 2.95, 3 Sb 3.17



VASP calculation (PBE) on a geometry-optimized Mg2RhCl structure.

Summary:
Total moment ... 0.3 μB/cell
Calculated total energy ... -3.32 eV per atom
Uncorrected formation energy ... -0.223 eV/atom
Fermi-level density of states ... 4.84 states/eV/f.u.

a b c (Å): 3.0805 3.0805 8.6824
angles (deg): 90.00 90.00 90.03
Closest atoms and distances in Å follow each position.
Element x y z (fractional)
Mg  0.5000  0.5000  0.2737  4 Rh 2.66
Cl  0.5000  0.5000  0.8062  4 Mg 2.61
Rh  0.0000  0.0000  0.4490  4 Mg 2.66
Mg  0.0000  0.0000  0.9711  4 Cl 2.61



VASP calculation (PBE) on a geometry-optimized CaCo2Ni structure.

Summary:
Total moment ... 3.7 μB/cell
Calculated total energy ... -5.06 eV per atom
ΔH_f (0 K) ... 0.438 eV/atom
Fermi-level density of states ... 4.92 states/eV/f.u.

a b c (Å): 4.9656 4.9656 4.9656
angles (deg): 135.78 135.78 64.31
Closest atoms and distances in Å follow each position.
Element x y z (fractional)
Ca  0.7500  0.2500  0.5000  4 Ni 2.64, 8 Co 2.81
Ni  0.2500  0.7500  0.5000  4 Ca 2.64, 8 Co 2.81
Co  0.5000  0.5000  0.0000  4 Co 2.64, 4 Ca 2.81, 4 Ni 2.81
Co  0.0000  0.0000  0.0000  4 Co 2.64, 4 Ni 2.81, 4 Ca 2.81



VASP calculation (PBE) on a geometry-optimized KAg6Pb6 structure.

Summary:
Total moment ... 0.0 μB/cell
Calculated total energy ... -3.11 eV per atom
ΔH_f (0 K) ... 0.006 eV/atom
Fermi-level density of states ... 5.09 states/eV/f.u.

a b c (Å): 5.9977 7.9790 7.9790
angles (deg): 82.59 67.92 67.92
Closest atoms and distances in Å follow each position.
Element x y z (fractional)
Ag  0.0000  0.0000  0.5000  4 Ag 3.00, 6 Pb 3.11-3.18
Pb  0.0000  0.6532  0.3468  6 Ag 3.17-3.22, 1 Pb 3.23
Pb  0.3183  0.1817  0.1817  6 Ag 3.11-3.12, 2 Pb 3.44
Pb  0.0000  0.3468  0.6532  6 Ag 3.17-3.22, 1 Pb 3.23
Ag  0.5000  0.0000  0.5000  4 Ag 3.00, 6 Pb 3.11-3.18
K  0.0000  0.0000  0.0000  8 Pb 3.54-3.65, 4 Ag 3.89
Ag  0.5000  0.5000  0.0000  4 Ag 3.00, 6 Pb 3.11-3.18
Ag  0.5000  0.2355  0.7645  4 Ag 3.00, 6 Pb 3.12-3.22
Ag  0.0000  0.5000  0.0000  4 Ag 3.00, 6 Pb 3.11-3.18
Pb  0.3442  0.6558  0.6558  6 Ag 3.18-3.22, 3 Pb 3.23-3.44
Pb  0.6558  0.3442  0.3442  6 Ag 3.18-3.22, 3 Pb 3.23-3.44
Pb  0.6817  0.8183  0.8183  6 Ag 3.11-3.12, 2 Pb 3.44
Ag  0.5000  0.7645  0.2355  4 Ag 3.00, 6 Pb 3.12-3.22



VASP calculation (PBE) on a geometry-optimized PmErPu2P4 structure.

Summary:
Total moment ... 0.1 μB/cell
Calculated total energy ... -8.78 eV per atom
ΔH_f (0 K) ... -1.331 eV/atom
Fermi-level density of states ... 23.91 states/eV/f.u.

a b c (Å): 4.0270 6.9554 6.9428
angles (deg): 109.66 90.00 90.00
Closest atoms and distances in Å follow each position.
Element x y z (fractional)
Pu  0.5000  0.0000  0.5000  6 P 2.83-2.84
Er  0.5000  0.5000  0.0000  6 P 2.84-2.85
P  0.0000  0.7477  0.2551  3 Pu 2.80-2.83, 2 Er 2.85, 1 Pm 2.88
Pu  0.0000  0.5000  0.5000  6 P 2.79-2.80
P  0.5000  0.2594  0.2591  3 Pu 2.79-2.84, 1 Er 2.84, 2 Pm 2.89
P  0.5000  0.7406  0.7409  3 Pu 2.79-2.84, 1 Er 2.84, 2 Pm 2.89
P  0.0000  0.2523  0.7449  3 Pu 2.80-2.83, 2 Er 2.85, 1 Pm 2.88
Pm  0.0000  0.0000  0.0000  6 P 2.88-2.89



VASP calculation (PBE) on a geometry-optimized DyLu3 structure.

Summary:
Total moment ... 0.0 μB/cell
Calculated total energy ... -4.54 eV per atom
ΔH_f (0 K) ... -0.001 eV/atom
Fermi-level density of states ... 6.47 states/eV/f.u.

a b c (Å): 3.5440 5.4976 6.1340
angles (deg): 90.00 90.00 90.00
Closest atoms and distances in Å follow each position.
Element x y z (fractional)
Lu  0.5000  0.0000  0.5002  8 Lu 3.42-3.55, 4 Dy 3.42
Lu  0.5000  0.5000  0.8331  8 Lu 3.42-3.54, 4 Dy 3.54-3.55
Lu  0.0000  0.0000  0.9989  10 Lu 3.42-3.55, 2 Dy 3.43
Dy  0.0000  0.5000  0.3344  10 Lu 3.42-3.55, 2 Dy 3.54



VASP calculation (PBE) on a geometry-optimized TiMn2Tl2S6 structure.

Summary:
Total moment ... 5.5 μB/cell
Calculated total energy ... -5.76 eV per atom
Uncorrected formation energy ... -0.693 eV/atom
Fermi-level density of states ... 6.56 states/eV/f.u.

a b c (Å): 5.9192 5.9192 8.0377
angles (deg): 96.88 96.88 119.95
Closest atoms and distances in Å follow each position.
Element x y z (fractional)
Tl  0.8351  0.1649  0.0000  6 S 3.19-3.24, 3 Tl 3.38-3.44
Tl  0.1649  0.8351  0.0000  6 S 3.19-3.24, 3 Tl 3.38-3.44
S  0.5990  0.9438  0.3250  2 Mn 2.36-2.38, 1 Ti 2.45
Mn  0.3323  0.6677  0.5000  6 S 2.36-2.38
Ti  0.0000  0.0000  0.5000  6 S 2.45
S  0.0562  0.4010  0.6750  2 Mn 2.36-2.38, 1 Ti 2.45
S  0.9438  0.5990  0.3250  2 Mn 2.36-2.38, 1 Ti 2.45
Mn  0.6677  0.3323  0.5000  6 S 2.36-2.38
S  0.7113  0.7113  0.6734  2 Mn 2.37, 1 Ti 2.45
S  0.4010  0.0562  0.6750  2 Mn 2.36-2.38, 1 Ti 2.45
S  0.2887  0.2887  0.3266  2 Mn 2.37, 1 Ti 2.45



VASP calculation (PBE) on a geometry-optimized PuTiSbPd structure.

Summary:
Total moment ... 7.2 μB/cell
Calculated total energy ... -8.23 eV per atom
Uncorrected formation energy ... -0.345 eV/atom
Fermi-level density of states ... 10.70 states/eV/f.u.

a b c (Å): 4.9474 4.9474 4.9474
angles (deg): 60.00 60.00 60.00
Closest atoms and distances in Å follow each position.
Element x y z (fractional)
Pu  0.5000  0.5000  0.5000  4 Pd 3.03, 4 Sb 3.03
Sb  0.2500  0.2500  0.2500  4 Pu 3.03, 4 Ti 3.03
Pd  0.7500  0.7500  0.7500  4 Pu 3.03, 4 Ti 3.03
Ti  0.0000  0.0000  0.0000  4 Sb 3.03, 4 Pd 3.03



VASP calculation (PBE) on a geometry-optimized Sm2HoZn2 structure.

Summary:
Total moment ... 0.0 μB/cell
Calculated total energy ... -3.56 eV per atom
ΔH_f (0 K) ... -0.249 eV/atom
Fermi-level density of states ... 5.34 states/eV/f.u.

a b c (Å): 3.6534 5.1620 13.5694
angles (deg): 90.00 97.77 90.00
Closest atoms and distances in Å follow each position.
Element x y z (fractional)
Zn  0.5525  0.2500  0.1045  2 Ho 3.05, 6 Sm 3.17-3.20
Sm  0.9538  0.2500  0.9090  8 Zn 3.10-3.20
Sm  0.0462  0.7500  0.0910  8 Zn 3.10-3.20
Zn  0.6390  0.7500  0.2776  4 Sm 3.10, 4 Ho 3.16
Zn  0.3610  0.2500  0.7224  4 Sm 3.10, 4 Ho 3.16
Ho  0.1434  0.2500  0.2858  6 Zn 3.05-3.16
Ho  0.8566  0.7500  0.7142  6 Zn 3.05-3.16
Sm  0.7687  0.2500  0.5361  2 Zn 3.10, 4 Sm 3.31
Zn  0.4475  0.7500  0.8955  2 Ho 3.05, 6 Sm 3.17-3.20
Sm  0.2313  0.7500  0.4639  2 Zn 3.10, 4 Sm 3.31



VASP calculation (PBE) on a geometry-optimized AcCePuGa structure.

Summary:
Total moment ... 9.1 μB/cell
Calculated total energy ... -6.72 eV per atom
ΔH_f (0 K) ... 0.126 eV/atom
Fermi-level density of states ... 12.77 states/eV/f.u.

a b c (Å): 5.4200 5.4200 5.4200
angles (deg): 60.00 60.00 60.00
Closest atoms and distances in Å follow each position.
Element x y z (fractional)
Ce  0.0000  0.0000  0.0000  4 Ac 3.32, 4 Ga 3.32
Pu  0.5000  0.5000  0.5000  4 Ac 3.32, 4 Ga 3.32
Ac  0.2500  0.2500  0.2500  4 Ce 3.32, 4 Pu 3.32
Ga  0.7500  0.7500  0.7500  4 Pu 3.32, 4 Ce 3.32



VASP calculation (PBE) on a geometry-optimized SmDy12Tm7 structure.

Summary:
Total moment ... 0.0 μB/cell
Calculated total energy ... -4.25 eV per atom
ΔH_f (0 K) ... 0.307 eV/atom
Fermi-level density of states ... 18.68 states/eV/f.u.

a b c (Å): 8.6352 8.6352 8.6352
angles (deg): 95.09 95.09 95.09
Closest atoms and distances in Å follow each position.
Element x y z (fractional)
Dy  0.7501  0.3187  0.1891  3 Dy 3.32-3.55, 3 Tm 3.34-3.53
Tm  0.0151  0.0799  0.3498  1 Sm 3.03, 2 Dy 3.06-3.34, 1 Tm 3.06
Tm  0.6502  0.9849  0.9201  1 Sm 3.03, 2 Dy 3.06-3.34, 1 Tm 3.06
Dy  0.1891  0.7501  0.3187  3 Dy 3.32-3.55, 3 Tm 3.34-3.53
Tm  0.3498  0.0151  0.0799  1 Sm 3.03, 2 Dy 3.06-3.34, 1 Tm 3.06
Tm  0.9201  0.6502  0.9849  1 Sm 3.03, 2 Dy 3.06-3.34, 1 Tm 3.06
Dy  0.5256  0.8543  0.5875  2 Tm 3.06-3.07, 2 Dy 3.09-3.32
Dy  0.4744  0.1457  0.4125  2 Tm 3.06-3.07, 2 Dy 3.09-3.32
Sm  0.0000  0.0000  0.0000  6 Tm 3.03
Dy  0.2499  0.6813  0.8109  3 Dy 3.32-3.55, 3 Tm 3.34-3.53
Tm  0.5000  0.5000  0.5000  6 Dy 3.07
Tm  0.9849  0.9201  0.6502  1 Sm 3.03, 2 Dy 3.06-3.34, 1 Tm 3.06
Dy  0.4125  0.4744  0.1457  2 Tm 3.06-3.07, 2 Dy 3.09-3.32
Tm  0.0799  0.3498  0.0151  1 Sm 3.03, 2 Dy 3.06-3.34, 1 Tm 3.06
Dy  0.8109  0.2499  0.6813  3 Dy 3.32-3.55, 3 Tm 3.34-3.53
Dy  0.5875  0.5256  0.8543  2 Tm 3.06-3.07, 2 Dy 3.09-3.32
Dy  0.1457  0.4125  0.4744  2 Tm 3.06-3.07, 2 Dy 3.09-3.32
Dy  0.6813  0.8109  0.2499  3 Dy 3.32-3.55, 3 Tm 3.34-3.53
Dy  0.3187  0.1891  0.7501  3 Dy 3.32-3.55, 3 Tm 3.34-3.53
Dy  0.8543  0.5875  0.5256  2 Tm 3.06-3.07, 2 Dy 3.09-3.32



VASP calculation (PBE) on a geometry-optimized PrHoInIr structure.

Summary:
Total moment ... 0.0 μB/cell
Calculated total energy ... -5.69 eV per atom
ΔH_f (0 K) ... -0.451 eV/atom
Fermi-level density of states ... 3.53 states/eV/f.u.

a b c (Å): 5.1711 5.1711 5.1711
angles (deg): 60.00 60.00 60.00
Closest atoms and distances in Å follow each position.
Element x y z (fractional)
In  0.5000  0.5000  0.5000  4 Pr 3.17, 4 Ho 3.17
Ir  0.0000  0.0000  0.0000  4 Ho 3.17, 4 Pr 3.17
Ho  0.7500  0.7500  0.7500  4 Ir 3.17, 4 In 3.17
Pr  0.2500  0.2500  0.2500  4 In 3.17, 4 Ir 3.17



VASP calculation (PBE) on a geometry-optimized Li8AlGa2 structure.

Summary:
Total moment ... 0.0 μB/cell
Calculated total energy ... -2.37 eV per atom
ΔH_f (0 K) ... -0.084 eV/atom
Fermi-level density of states ... 3.37 states/eV/f.u.

a b c (Å): 4.6855 7.3049 7.5969
angles (deg): 61.26 73.45 53.68
Closest atoms and distances in Å follow each position.
Element x y z (fractional)
Ga  0.0000  0.3158  0.3684  10 Li 2.71-2.96
Li  0.1869  0.6515  0.2549  5 Li 2.59-2.88, 2 Ga 2.76-2.83
Al  0.5000  0.0000  0.0000  4 Li 2.65-2.76
Ga  0.0000  0.6842  0.6316  10 Li 2.71-2.96
Li  0.8131  0.0936  0.2549  5 Li 2.59-2.88, 2 Ga 2.76-2.83
Li  0.8131  0.3485  0.7451  5 Li 2.59-2.88, 2 Ga 2.76-2.83
Li  0.2936  0.4252  0.0000  1 Li 2.28
Li  0.5000  0.2073  0.5854  4 Ga 2.75-2.96, 6 Li 2.76-2.95, 1 Al 2.76
Li  0.5000  0.7927  0.4146  4 Ga 2.75-2.96, 6 Li 2.76-2.95, 1 Al 2.76
Li  0.7064  0.5748  0.0000  1 Li 2.28
Li  0.1869  0.9064  0.7451  5 Li 2.59-2.88, 2 Ga 2.76-2.83



VASP calculation (PBE) on a geometry-optimized RbReAsBr2 structure.

Summary:
Total moment ... 2.0 μB/cell
Calculated total energy ... -4.42 eV per atom
Uncorrected formation energy ... -0.141 eV/atom
Fermi-level density of states ... 2.28 states/eV/f.u.

a b c (Å): 5.5452 5.5452 4.7545
angles (deg): 90.00 90.00 90.00
Closest atoms and distances in Å follow each position.
Element x y z (fractional)
Br  0.5000  0.0000  0.0000  2 Re 2.77
As  0.0000  0.0000  0.5000  2 Re 2.38
Br  0.0000  0.5000  0.0000  2 Re 2.77
Re  0.0000  0.0000  0.0000  2 As 2.38
Rb  0.5000  0.5000  0.5000  8 Br 3.65, 4 As 3.92



VASP calculation (PBE) on a geometry-optimized Sc2VSe structure.

Summary:
Total moment ... 0.0 μB/cell
Calculated total energy ... -6.36 eV per atom
Uncorrected formation energy ... -0.045 eV/atom
Fermi-level density of states ... 2.17 states/eV/f.u.

a b c (Å): 8.8011 8.8011 8.8011
angles (deg): 22.10 22.10 22.10
Closest atoms and distances in Å follow each position.
Element x y z (fractional)
Sc  0.0961  0.0961  0.0961  1 V 2.48, 3 Se 2.66
Se  0.5000  0.5000  0.5000  6 Sc 2.66
V  0.0000  0.0000  0.0000  2 Sc 2.48
Sc  0.9039  0.9039  0.9039  1 V 2.48, 3 Se 2.66



VASP calculation (PBE) on a geometry-optimized Cs2PaCuS4 structure.

Summary:
Total moment ... 0.0 μB/cell
Calculated total energy ... -5.06 eV per atom
Uncorrected formation energy ... -1.081 eV/atom

a b c (Å): 7.1856 7.1856 7.1856
angles (deg): 95.51 116.87 116.87
Closest atoms and distances in Å follow each position.
Element x y z (fractional)
S  0.8867  0.5133  0.1422  1 Cu 2.35, 1 Pa 2.53
Cs  0.5000  0.7500  0.2500  4 S 3.58
Pa  0.5000  0.2500  0.7500  4 S 2.53
Cs  0.0000  0.0000  0.0000  4 S 3.58
S  0.1133  0.2555  0.6267  1 Cu 2.35, 1 Pa 2.53
S  0.6289  0.3733  0.4867  1 Cu 2.35, 1 Pa 2.53
S  0.3711  0.8578  0.7445  1 Cu 2.35, 1 Pa 2.53
Cu  0.0000  0.5000  0.5000  4 S 2.35



VASP calculation (PBE) on a geometry-optimized Y2MnNiN structure.

Summary:
Total moment ... 1.0 μB/cell
Calculated total energy ... -7.88 eV per atom
Uncorrected formation energy ... -0.636 eV/atom
Fermi-level density of states ... 4.30 states/eV/f.u.

a b c (Å): 4.8541 4.8541 3.6030
angles (deg): 90.00 90.00 90.00
Closest atoms and distances in Å follow each position.
Element x y z (fractional)
N  0.0000  0.0000  0.0000  2 Mn 1.80
Y  0.0000  0.5000  0.0000  2 N 2.43
Y  0.5000  0.0000  0.0000  2 N 2.43
Mn  0.0000  0.0000  0.5000  2 N 1.80
Ni  0.5000  0.5000  0.5000  8 Y 3.02



VASP calculation (PBE) on a geometry-optimized Sc2MoCl structure.

Summary:
Total moment ... 0.0 μB/cell
Calculated total energy ... -6.50 eV per atom
Uncorrected formation energy ... -0.161 eV/atom
Fermi-level density of states ... 3.04 states/eV/f.u.

a b c (Å): 3.0994 4.6689 5.4675
angles (deg): 90.00 90.00 90.00
Closest atoms and distances in Å follow each position.
Element x y z (fractional)
Mo  0.5000  0.5000  0.8625  6 Sc 2.62-2.84
Sc  0.5000  0.5000  0.3426  2 Mo 2.62-2.84, 4 Cl 2.81
Sc  0.0000  0.0000  0.9032  2 Cl 2.67-2.80, 4 Mo 2.81
Cl  0.0000  0.0000  0.3918  6 Sc 2.67-2.81



VASP calculation (PBE) on a geometry-optimized La3Mg structure.

Summary:
Total moment ... 0.0 μB/cell
Calculated total energy ... -3.14 eV per atom
ΔH_f (0 K) ... 0.951 eV/atom
Fermi-level density of states ... 5.97 states/eV/f.u.

a b c (Å): 6.0360 6.0360 6.0360
angles (deg): 90.00 90.00 90.00
Closest atoms and distances in Å follow each position.
Element x y z (fractional)
La  0.0000  0.0000  0.5000  2 Mg 3.02
La  0.0000  0.5000  0.0000  2 Mg 3.02
Mg  0.0000  0.0000  0.0000  6 La 3.02
La  0.5000  0.0000  0.0000  2 Mg 3.02



VASP calculation (PBE) on a geometry-optimized Sc2UPaP4 structure.

Summary:
Total moment ... 2.5 μB/cell
Calculated total energy ... -8.19 eV per atom
ΔH_f (0 K) ... -1.308 eV/atom
Fermi-level density of states ... 10.50 states/eV/f.u.

a b c (Å): 3.8644 6.6711 6.6926
angles (deg): 70.46 90.00 90.00
Closest atoms and distances in Å follow each position.
Element x y z (fractional)
U  0.5000  0.5000  0.0000  6 P 2.77
P  0.0000  0.7620  0.7473  3 Sc 2.68-2.69, 2 U 2.77, 1 Pa 2.78
Sc  0.5000  0.0000  0.5000  6 P 2.69
P  0.5000  0.7635  0.2443  3 Sc 2.68-2.69, 1 U 2.77, 2 Pa 2.78
P  0.0000  0.2380  0.2527  3 Sc 2.68-2.69, 2 U 2.77, 1 Pa 2.78
P  0.5000  0.2365  0.7557  3 Sc 2.68-2.69, 1 U 2.77, 2 Pa 2.78
Pa  0.0000  0.5000  0.5000  6 P 2.78
Sc  0.0000  0.0000  0.0000  6 P 2.68